SnCSN2, optimized geometry, DFT GGA-PBE; ΔE to the lowest computed polymorph = 0.000 eV/atom; SG = P4/mmm, No. 123; energy relative to the elements, uncorrected = 1.971 eV/atom
1.0
3.763 0.000 0.000
0.000 3.763 0.000
0.000 0.000 3.874
N Sn S C
2 1 1 1
direct
0.500 0.000 0.000 N
0.000 0.500 0.000 N
0.500 0.500 0.500 Sn
0.000 0.000 0.500 S
0.000 0.000 0.000 C